Record 1
Density functional theory data (PBE-GGA) for an optimized crystal structure of TiRe2W.

Structure (POSCAR):
```
TiRe2W
1.0
4.428 0.000 0.000
0.000 4.428 0.000
0.000 0.000 3.131
Ti Re W
1 2 1
direct
0.000 0.000 0.000
0.000 0.500 0.500
0.500 0.000 0.500
0.500 0.500 0.000
```

Properties
Formation energy (meV/atom): -319.4
D(E_F) (states/eV per cell): 1.95
SG: P4/mmm (123)
Electronic total energy (eV/atom): -11.756

=====

Record 2
Density functional theory data (PBE-GGA) for an optimized crystal structure of Ti2Re4W.

Structure (POSCAR):
```
Ti2Re4W
1.0
-3.062 3.062 3.082
3.062 -3.062 3.082
3.062 3.062 -3.082
Ti Re W
2 4 1
direct
0.000 0.500 0.500
0.500 0.000 0.500
0.000 0.000 0.500
0.000 0.500 0.000
0.500 0.000 0.000
0.500 0.500 0.500
0.000 0.000 0.000
```

Properties
Formation energy (meV/atom): 260.2
D(E_F) (states/eV per cell): 7.64
SG: I4/mmm (139)
Electronic total energy (eV/atom): -10.959